1.
Material: ZrCoH3
Method: DFT, meta-GGA SCAN
State: single point on PBEsol structure

For the density of states at the Fermi level, the calculation gives 0.443 states/eV/atom.

The space group is Pm-3m (No. 221) and the conventional cell measures 3.327, 3.327 and 3.327 Å, with angles of 90.00, 90.00 and 90.00 degrees. The distinct sites, in fractional coordinates, are Zr at (0.000, 0.000, 0.000), Co at (0.500, 0.500, 0.500) and H at (0.000, 0.500, 0.500).

=====

2.
Material: TlReTc
Method: DFT, meta-GGA SCAN
State: single point on PBEsol structure

The formation energy from the elements comes out at 0.761 eV per atom. For the density of states at the Fermi level, the calculation gives 0.702 states/eV/atom.

The space group is Fmm2 (No. 42) and the conventional cell measures 2.952, 4.852 and 14.273 Å, with angles of 90.00, 90.00 and 90.00 degrees. The distinct sites, in fractional coordinates, are Tl at (0.000, 0.000, 0.000), Re at (0.000, 0.000, 0.681) and Tc at (0.000, 0.000, 0.324).

=====

3.
Material: NbBrF2
Method: DFT, meta-GGA SCAN
State: single point on PBEsol structure

For the density of states at the Fermi level, the calculation gives 0.425 states/eV/atom. The value obtained for the energy relative to the elements, uncorrected is -1599 meV/atom.

The space group is R-3m (No. 166, hexagonal axes) and the conventional cell measures 2.8573, 2.8573 and 30.2600 Å, with angles of 90.00, 90.00 and 120.00 degrees. The distinct sites, in fractional coordinates, are Nb at (0.0000, 0.0000, 0.0000), Br at (0.0000, 0.0000, 0.5000) and F at (0.0000, 0.0000, 0.3822).

=====

| no. | energy (eV/atom) |
| --- | --- |
| 1 | -11.9643 |
| 2 | -58.7443 |
| 3 | -16.5163 |